Below is Cs4Ag3SnI12 after structural relaxation, with properties calculated at the PBE level.

Output
Symmetry: Im-3m (229)
Energy: -49.9 eV for the cell shown
Fermi-level density of states: 5.34 states/eV/cell

Lattice parameters (Å, degrees): 10.334 10.334 10.334 109.47 109.47 109.47
Fractional positions:
1 Cs 0.000 0.000 0.500
2 Cs 0.000 0.500 0.000
3 Cs 0.500 0.000 0.000
4 Cs 0.500 0.500 0.500
5 Ag 0.000 0.500 0.500
6 Ag 0.500 0.000 0.500
7 Ag 0.500 0.500 0.000
8 Sn 0.000 0.000 0.000
9 I 0.000 0.246 0.246
10 I 0.000 0.754 0.754
11 I 0.246 0.000 0.246
12 I 0.246 0.246 0.000
13 I 0.250 0.500 0.750
14 I 0.250 0.750 0.500
15 I 0.500 0.250 0.750
16 I 0.500 0.750 0.250
17 I 0.750 0.250 0.500
18 I 0.750 0.500 0.250
19 I 0.754 0.000 0.754
20 I 0.754 0.754 0.000

Below is Ba4NaIr2 after structural relaxation, with properties calculated at the PBE level.

Output
E_form: 10 meV/atom
Symmetry: Cc (9)
Energy: -53.3 eV for the cell shown
Fermi-level density of states: 8.64 states/eV/cell

Lattice parameters (Å, degrees): 8.513 8.513 9.009 106.28 106.28 95.12
Fractional positions:
1 Ba 0.008 0.992 0.500
2 Ba 0.022 0.526 0.634
3 Ba 0.041 0.573 0.141
4 Ba 0.526 0.022 0.134
5 Ba 0.561 0.638 0.293
6 Ba 0.573 0.041 0.641
7 Ba 0.638 0.561 0.793
8 Ba 0.992 0.008 0.000
9 Na 0.277 0.301 0.891
10 Na 0.301 0.277 0.391
11 Ir 0.298 0.913 0.297
12 Ir 0.780 0.805 0.140
13 Ir 0.805 0.780 0.640
14 Ir 0.913 0.298 0.797

Below is Ti12Nb2Bi5 after structural relaxation, with properties calculated at the PBE level.

Output
E_form: 223 meV/atom
Symmetry: C2/m (12)
Energy: -130.0 eV for the cell shown
Fermi-level density of states: 24.77 states/eV/cell

Lattice parameters (Å, degrees): 7.809 7.809 9.791 92.42 92.42 43.04
Fractional positions:
1 Ti 0.007 0.007 0.175
2 Ti 0.083 0.612 0.064
3 Ti 0.090 0.578 0.585
4 Ti 0.388 0.917 0.936
5 Ti 0.405 0.405 0.296
6 Ti 0.422 0.910 0.415
7 Ti 0.578 0.090 0.585
8 Ti 0.595 0.595 0.704
9 Ti 0.612 0.083 0.064
10 Ti 0.910 0.422 0.415
11 Ti 0.917 0.388 0.936
12 Ti 0.993 0.993 0.825
13 Nb 0.246 0.754 0.500
14 Nb 0.754 0.246 0.500
15 Bi 0.159 0.159 0.671
16 Bi 0.205 0.205 0.180
17 Bi 0.500 0.500 0.000
18 Bi 0.795 0.795 0.820
19 Bi 0.841 0.841 0.329

Below is CdSiBi2I after structural relaxation, with properties calculated at the PBE level.

Output
Symmetry: P4/mmm (123)
Energy: -11.8 eV for the cell shown
Fermi-level density of states: 6.68 states/eV/cell

Lattice parameters (Å, degrees): 5.930 5.930 4.850 90.00 90.00 90.00
Fractional positions:
1 Cd 0.000 0.000 0.000
2 Si 0.000 0.000 0.500
3 Bi 0.000 0.500 0.000
4 Bi 0.500 0.000 0.000
5 I 0.500 0.500 0.500

Below is Bi2Te2Se after structural relaxation, with properties calculated at the PBE level.

Output
Symmetry: P2_1/m (11)
Energy: -37.2 eV for the cell shown
Energy relative to the lowest polymorph listed for this composition: 0.089 eV per atom
Fermi-level density of states: 0.10 states/eV/cell

Lattice parameters (Å, degrees): 6.309 4.433 12.497 90.00 102.07 90.00
Fractional positions:
1 Bi 0.110 0.250 0.149
2 Bi 0.282 0.250 0.586
3 Bi 0.718 0.750 0.414
4 Bi 0.890 0.750 0.851
5 Te 0.198 0.750 0.387
6 Te 0.362 0.750 0.759
7 Te 0.638 0.250 0.241
8 Te 0.802 0.250 0.613
9 Se 0.253 0.750 0.039
10 Se 0.747 0.250 0.961

Below is TlVCo2Cl8 after structural relaxation, with properties calculated at the PBE level.

Output
Symmetry: R-3 (148)
Energy: -50.2 eV for the cell shown
Fermi-level density of states: 10.50 states/eV/cell

Lattice parameters (Å, degrees): 10.109 10.109 10.109 35.72 35.72 35.72
Fractional positions:
1 Tl 0.000 0.000 0.000
2 V 0.500 0.500 0.500
3 Co 0.239 0.239 0.239
4 Co 0.761 0.761 0.761
5 Cl 0.142 0.441 0.769
6 Cl 0.231 0.858 0.559
7 Cl 0.317 0.317 0.317
8 Cl 0.441 0.769 0.142
9 Cl 0.559 0.231 0.858
10 Cl 0.683 0.683 0.683
11 Cl 0.769 0.142 0.441
12 Cl 0.858 0.559 0.231

Below is ScCoP2S after structural relaxation, with properties calculated at the PBE level.

Output
Symmetry: P4/mmm (123)
Energy: -29.0 eV for the cell shown
Energy relative to the lowest polymorph listed for this composition: 0.000 eV per atom
Fermi-level density of states: 5.29 states/eV/cell

Lattice parameters (Å, degrees): 4.213 4.213 4.910 90.00 90.00 90.00
Fractional positions:
1 Sc 0.000 0.000 0.000
2 Co 0.500 0.500 0.500
3 P 0.000 0.500 0.500
4 P 0.500 0.000 0.500
5 S 0.500 0.500 0.000

Below is HfTaNiMo2 after structural relaxation, with properties calculated at the PBE level.

Output
E_form: 1816 meV/atom
Symmetry: P4/mmm (123)
Energy: -40.2 eV for the cell shown
Fermi-level density of states: 7.08 states/eV/cell

Lattice parameters (Å, degrees): 4.679 4.679 5.104 90.00 90.00 90.00
Fractional positions:
1 Hf 0.000 0.000 0.000
2 Ta 0.000 0.000 0.500
3 Ni 0.500 0.500 0.000
4 Mo 0.000 0.500 0.500
5 Mo 0.500 0.000 0.500

Below is Pr8PtRh3Br4 after structural relaxation, with properties calculated at the PBE level.

Output
Symmetry: R-3m (166)
Energy: -90.8 eV for the cell shown
Fermi-level density of states: 6.49 states/eV/cell

Lattice parameters (Å, degrees): 9.224 9.224 9.224 53.98 53.98 53.98
Fractional positions:
1 Pr 0.227 0.735 0.735
2 Pr 0.232 0.232 0.232
3 Pr 0.265 0.265 0.773
4 Pr 0.265 0.773 0.265
5 Pr 0.735 0.227 0.735
6 Pr 0.735 0.735 0.227
7 Pr 0.768 0.768 0.768
8 Pr 0.773 0.265 0.265
9 Pt 0.500 0.500 0.500
10 Rh 0.000 0.000 0.500
11 Rh 0.000 0.500 0.000
12 Rh 0.500 0.000 0.000
13 Br 0.000 0.000 0.000
14 Br 0.000 0.500 0.500
15 Br 0.500 0.000 0.500
16 Br 0.500 0.500 0.000

Below is ZrScTe after structural relaxation, with properties calculated at the PBE level.

Output
Symmetry: P3m1 (156)
Energy: -19.6 eV for the cell shown
Energy relative to the lowest polymorph listed for this composition: 0.210 eV per atom
Fermi-level density of states: 3.50 states/eV/cell

Lattice parameters (Å, degrees): 3.652 3.652 6.530 90.00 90.00 120.00
Fractional positions:
1 Zr 0.000 0.000 0.000
2 Sc 0.667 0.333 0.366
3 Te 0.333 0.667 0.689

Below is AcHo4Tm5 after structural relaxation, with properties calculated at the PBE level.

Output
E_form: 226 meV/atom
Symmetry: C2/m (12)
Energy: -42.5 eV for the cell shown
Fermi-level density of states: 13.07 states/eV/cell

Lattice parameters (Å, degrees): 8.723 8.723 10.957 90.65 90.65 23.53
Fractional positions:
1 Ac 0.000 0.000 0.000
2 Ho 0.152 0.152 0.250
3 Ho 0.473 0.473 0.259
4 Ho 0.527 0.527 0.741
5 Ho 0.848 0.848 0.750
6 Tm 0.000 0.000 0.500
7 Tm 0.323 0.323 0.058
8 Tm 0.327 0.327 0.453
9 Tm 0.673 0.673 0.547
10 Tm 0.677 0.677 0.942

Below is Pu2Be3CuSi4 after structural relaxation, with properties calculated at the PBE level.

Output
Symmetry: P-4m2 (115)
Energy: -69.0 eV for the cell shown
Fermi-level density of states: 16.94 states/eV/cell

Lattice parameters (Å, degrees): 3.909 3.909 9.614 90.00 90.00 90.00
Fractional positions:
1 Pu 0.000 0.500 0.241
2 Pu 0.500 0.000 0.759
3 Be 0.000 0.500 0.870
4 Be 0.500 0.000 0.130
5 Be 0.500 0.500 0.500
6 Cu 0.000 0.000 0.500
7 Si 0.000 0.000 0.000
8 Si 0.000 0.500 0.638
9 Si 0.500 0.000 0.362
10 Si 0.500 0.500 0.000

Question: Look up the Fermi-level density of states of the twelfth one.
Answer: 16.94 states/eV/cell